# 1
The following is a DFT calculation (PBE) of crystalline PuPaOs4 at its relaxed geometry.

Structure (extended XYZ):
```
6
Lattice="0.0000 3.7886 3.7886 3.7886 0.0000 3.7886 3.7886 3.7886 0.0000" Properties=species:S:1:pos:R:3 pbc="T T T"
Pu 0.0000 0.0000 0.0000
Pa 1.8943 1.8943 1.8943
Os 4.7379 2.8393 2.8393
Os 2.8393 4.7379 2.8393
Os 2.8393 2.8393 4.7379
Os 4.7379 4.7379 4.7379
```

Results
The calculation puts the raw total energy at -69.86 eV per formula unit. For the formation energy, the calculation gives -0.185 eV/atom. As for the symmetry: F-43m, No. 216.

---

# 2
The following is a DFT calculation (PBE) of crystalline PuPaOsRh at its relaxed geometry.

Structure (extended XYZ):
```
4
Lattice="0.0000 3.3154 3.3154 3.3154 0.0000 3.3154 3.3154 3.3154 0.0000" Properties=species:S:1:pos:R:3 pbc="T T T"
Pu 0.0000 0.0000 0.0000
Pa 4.9731 4.9731 4.9731
Os 3.3154 3.3154 3.3154
Rh 1.6577 1.6577 1.6577
```

Results
The calculation puts the raw total energy at -43.64 eV per formula unit. For the formation energy, the calculation gives -0.308 eV/atom. As for the symmetry: F-43m, No. 216.

---

# 3
The following is a DFT calculation (PBE) of crystalline PuPaOsRu at its relaxed geometry.

Structure (extended XYZ):
```
4
Lattice="0.0000 3.4147 3.4147 3.4147 0.0000 3.4147 3.4147 3.4147 0.0000" Properties=species:S:1:pos:R:3 pbc="T T T"
Pu 0.0000 0.0000 0.0000
Pa 3.4147 3.4147 3.4147
Os 1.7073 1.7073 1.7073
Ru 5.1220 5.1220 5.1220
```

Results
The calculation puts the raw total energy at -45.13 eV per formula unit. For the formation energy, the calculation gives -0.198 eV/atom. As for the symmetry: F-43m, No. 216.

---

# 4
The following is a DFT calculation (PBE) of crystalline PuUPaOs at its relaxed geometry.

Structure (extended XYZ):
```
4
Lattice="0.0000 3.4250 3.4250 3.4250 0.0000 3.4250 3.4250 3.4250 0.0000" Properties=species:S:1:pos:R:3 pbc="T T T"
Pu 0.0000 0.0000 0.0000
U 1.7125 1.7125 1.7125
Pa 3.4250 3.4250 3.4250
Os 5.1375 5.1375 5.1375
```

Results
The calculation puts the raw total energy at -46.22 eV per formula unit. For the formation energy, the calculation gives 0.032 eV/atom. As for the symmetry: F-43m, No. 216.

---

# 5
The following is a DFT calculation (PBE) of crystalline PuPaZnOs at its relaxed geometry.

Structure (extended XYZ):
```
4
Lattice="0.0000 3.4603 3.4603 3.4603 0.0000 3.4603 3.4603 3.4603 0.0000" Properties=species:S:1:pos:R:3 pbc="T T T"
Pu 0.0000 0.0000 0.0000
Pa 3.4603 3.4603 3.4603
Zn 5.1904 5.1904 5.1904
Os 1.7301 1.7301 1.7301
```

Results
The calculation puts the raw total energy at -36.58 eV per formula unit. For the formation energy, the calculation gives -0.063 eV/atom. As for the symmetry: F-43m, No. 216.

---

# 6
The following is a DFT calculation (PBE) of crystalline PaReOs2 at its relaxed geometry.

Structure (extended XYZ):
```
4
Lattice="4.1078 0.0000 0.0000 0.0000 4.1078 0.0000 0.0000 0.0000 4.0594" Properties=species:S:1:pos:R:3 pbc="T T T"
Pa 0.0000 0.0000 0.0000
Re 2.0539 2.0539 0.0000
Os 0.0000 2.0539 2.0297
Os 2.0539 0.0000 2.0297
```

Results
The excess energy over the best structure of this formula in the dataset comes out at 0 meV/atom. The calculation puts the raw total energy at -44.41 eV per formula unit. For the formation energy, the calculation gives 0.000 eV/atom. As for the symmetry: P4/mmm, No. 123.

---

# 7
The following is a DFT calculation (PBE) of crystalline Pa2ReOs at its relaxed geometry.

Structure (extended XYZ):
```
4
Lattice="0.0000 3.4516 3.4516 3.4516 0.0000 3.4516 3.4516 3.4516 0.0000" Properties=species:S:1:pos:R:3 pbc="T T T"
Pa 1.7258 1.7258 1.7258
Pa 5.1774 5.1774 5.1774
Re 0.0000 0.0000 0.0000
Os 3.4516 3.4516 3.4516
```

Results
The excess energy over the best structure of this formula in the dataset comes out at 14 meV/atom. The calculation puts the raw total energy at -42.97 eV per formula unit. For the formation energy, the calculation gives -0.075 eV/atom. As for the symmetry: Fm-3m, No. 225.

---

# 8
The following is a DFT calculation (PBE) of crystalline Pa2ReOs at its relaxed geometry.

Structure (extended XYZ):
```
4
Lattice="1.5235 0.8796 9.9051 -1.5235 0.8796 9.9051 0.0000 -1.7592 9.9051" Properties=species:S:1:pos:R:3 pbc="T T T"
Pa 0.0000 0.0000 2.5854
Pa 0.0000 0.0000 27.1299
Re 0.0000 0.0000 0.0000
Os 0.0000 0.0000 14.8577
```

Results
The excess energy over the best structure of this formula in the dataset comes out at 538 meV/atom. The calculation puts the raw total energy at -40.87 eV per formula unit. For the formation energy, the calculation gives 0.449 eV/atom. As for the symmetry: R-3m, No. 166.